Record 1
Computed, not measured: crystalline PdAu3S at its relaxed geometry at the PBE-GGA level of DFT.

## Properties
Total energy ... -0.1203 Ha/atom

a = 4.7218 Å, b = 4.7218 Å, c = 4.7218 Å
α = 90.00°, β = 90.00°, γ = 90.00°
Closest atoms and distances in Å follow each position.
Fractional coordinates of all 5 atoms:
1 Pd 0.0000 0.0000 0.0000  12 Au 3.34
2 Au 0.0000 0.5000 0.5000  2 S 2.36
3 Au 0.5000 0.0000 0.5000  2 S 2.36
4 Au 0.5000 0.5000 0.0000  2 S 2.36
5 S 0.5000 0.5000 0.5000  6 Au 2.36

Record 2
Computed, not measured: crystalline YCuHgGe at its relaxed geometry at the PBE-GGA level of DFT.

## Properties
Total energy ... -0.1470 Ha/atom
Energy relative to the lowest polymorph listed for this composition ... 0.0 meV per atom

a = 4.8631 Å, b = 4.8631 Å, c = 4.8631 Å
α = 60.00°, β = 60.00°, γ = 60.00°
Closest atoms and distances in Å follow each position.
Fractional coordinates of all 4 atoms:
1 Y 0.0000 0.0000 0.0000  4 Hg 2.98, 4 Ge 2.98
2 Cu 0.5000 0.5000 0.5000  4 Ge 2.98, 4 Hg 2.98
3 Hg 0.7500 0.7500 0.7500  4 Cu 2.98, 4 Y 2.98
4 Ge 0.2500 0.2500 0.2500  4 Cu 2.98, 4 Y 2.98

Record 3
Computed, not measured: crystalline AcZr at its relaxed geometry at the PBE-GGA level of DFT.

## Properties
Total energy ... -0.2274 Ha/atom
Energy relative to the lowest polymorph listed for this composition ... 0.0 meV per atom
Formation enthalpy at 0 K ... 140 meV/atom

a = 8.7080 Å, b = 5.7149 Å, c = 5.4215 Å
α = 90.00°, β = 90.00°, γ = 90.00°
Closest atoms and distances in Å follow each position.
Fractional coordinates of all 8 atoms:
1 Ac 0.1716 0.0188 0.2500  4 Zr 3.34-3.55
2 Ac 0.1716 0.4812 0.7500  4 Zr 3.34-3.55
3 Ac 0.8284 0.5188 0.2500  4 Zr 3.34-3.55
4 Ac 0.8284 0.9812 0.7500  4 Zr 3.34-3.55
5 Zr 0.4268 0.5835 0.2500  6 Zr 3.13-3.31, 1 Ac 3.34
6 Zr 0.4268 0.9165 0.7500  6 Zr 3.13-3.31, 1 Ac 3.34
7 Zr 0.5732 0.0835 0.2500  6 Zr 3.13-3.31, 1 Ac 3.34
8 Zr 0.5732 0.4165 0.7500  6 Zr 3.13-3.31, 1 Ac 3.34

Record 4
Computed, not measured: crystalline K2Cd5Pb3 at its relaxed geometry at the PBE-GGA level of DFT.

## Properties
Total energy ... -0.0675 Ha/atom

a = 12.7120 Å, b = 12.7120 Å, c = 12.7120 Å
α = 157.30°, β = 157.30°, γ = 32.32°
Closest atoms and distances in Å follow each position.
Fractional coordinates of all 10 atoms:
1 K 0.1921 0.1921 0.0000  5 Pb 3.66-3.76, 4 Cd 3.68
2 K 0.8079 0.8079 0.0000  5 Pb 3.66-3.76, 4 Cd 3.68
3 Cd 0.0818 0.5818 0.5000  4 Pb 3.06-3.20, 2 Cd 3.20
4 Cd 0.4182 0.9182 0.5000  4 Pb 3.06-3.20, 2 Cd 3.20
5 Cd 0.5000 0.5000 0.0000  8 Cd 3.20, 4 Pb 3.54
6 Cd 0.5818 0.0818 0.5000  4 Pb 3.06-3.20, 2 Cd 3.20
7 Cd 0.9182 0.4182 0.5000  4 Pb 3.06-3.20, 2 Cd 3.20
8 Pb 0.0000 0.0000 0.0000  12 Cd 3.20-3.54
9 Pb 0.3459 0.3459 0.0000  4 Cd 3.06
10 Pb 0.6541 0.6541 0.0000  4 Cd 3.06

Record 5
Computed, not measured: crystalline TbGeW at its relaxed geometry at the PBE-GGA level of DFT.

## Properties
Total energy ... -0.2601 Ha/atom

a = 4.5194 Å, b = 4.5194 Å, c = 4.5194 Å
α = 60.00°, β = 60.00°, γ = 60.00°
Closest atoms and distances in Å follow each position.
Fractional coordinates of all 3 atoms:
1 Tb 0.0000 0.0000 0.0000  4 Ge 2.77
2 Ge 0.2500 0.2500 0.2500  4 Tb 2.77, 4 W 2.77
3 W 0.5000 0.5000 0.5000  4 Ge 2.77

Record 6
Computed, not measured: crystalline HfThBi at its relaxed geometry at the PBE-GGA level of DFT.

## Properties
Total energy ... -0.2494 Ha/atom

a = 5.1149 Å, b = 5.1149 Å, c = 5.1149 Å
α = 60.00°, β = 60.00°, γ = 60.00°
Closest atoms and distances in Å follow each position.
Fractional coordinates of all 3 atoms:
1 Hf 0.0000 0.0000 0.0000  4 Bi 3.13
2 Th 0.5000 0.5000 0.5000  4 Bi 3.13
3 Bi 0.2500 0.2500 0.2500  4 Hf 3.13, 4 Th 3.13

Look up the total energy of the sixth one. -0.2494 Ha/atom

Among the records above, which one has the highest total energy? K2Cd5Pb3